A | Here is ZrH2Au after structural relaxation from Alexandria. Energies are from PBE.

Values from the calculation:
- Symmetry: No. 122
- Spin magnetization: 0.00 μB/cell

Cell: 4.3167 4.3167 6.0737 Å, 69.18 69.18 90.00°
Fractional positions:
Au: 0.0000 0.0000 0.0000
H: 0.8750 0.8465 0.7500
Au: 0.7500 0.2500 0.5000
H: 0.1535 0.6250 0.2500
Zr: 0.2500 0.7500 0.5000
H: 0.5965 0.1250 0.2500
Zr: 0.5000 0.5000 0.0000
H: 0.3750 0.4035 0.7500

***

B | Here is ZrH2Au after structural relaxation from Alexandria. Energies are from PBE.

Values from the calculation:
- Symmetry: No. 225
- Spin magnetization: 0.00 μB/cell

Cell: 4.0258 4.0258 4.0258 Å, 60.00 60.00 60.00°
Fractional positions:
Zr: 0.0000 0.0000 0.0000
H: 0.7500 0.7500 0.7500
H: 0.2500 0.2500 0.2500
Au: 0.5000 0.5000 0.5000

***

C | Here is ZrH2Au after structural relaxation from Alexandria. Energies are from PBE.

Values from the calculation:
- Symmetry: No. 59
- Spin magnetization: 0.00 μB/cell

Cell: 3.3270 5.6203 5.0298 Å, 90.00 90.00 90.00°
Fractional positions:
H: 0.7500 0.3759 0.0146
Zr: 0.7500 0.6440 0.7500
H: 0.2500 0.6241 0.5146
Au: 0.2500 0.0792 0.7500
Zr: 0.2500 0.3560 0.2500
H: 0.7500 0.3759 0.4854
H: 0.2500 0.6241 0.9854
Au: 0.7500 0.9208 0.2500

***

Tell me which of them is the most stable. Sure, it is C.

***

A | Here is ZrHAu2 after structural relaxation from Alexandria. Energies are from PBE.

Values from the calculation:
- Symmetry: No. 122
- Spin magnetization: 0.00 μB/cell

Cell: 6.1017 6.1017 5.5829 Å, 56.88 56.88 90.00°
Fractional positions:
Au: 0.2407 0.6250 0.2500
H: 0.2500 0.7500 0.5000
Zr: 0.0000 0.0000 0.0000
Zr: 0.7500 0.2500 0.5000
Au: 0.8750 0.7593 0.7500
Au: 0.5093 0.1250 0.2500
H: 0.5000 0.5000 0.0000
Au: 0.3750 0.4907 0.7500

***

B | Here is ZrHAu2 after structural relaxation from Alexandria. Energies are from PBE.

Values from the calculation:
- Symmetry: No. 225
- Spin magnetization: 0.00 μB/cell

Cell: 4.6036 4.6036 4.6036 Å, 60.00 60.00 60.00°
Fractional positions:
Zr: 0.5000 0.5000 0.5000
H: 0.0000 0.0000 0.0000
Au: 0.7500 0.7500 0.7500
Au: 0.2500 0.2500 0.2500

***

C | Here is ZrHAu2 after structural relaxation from Alexandria. Energies are from PBE.

Values from the calculation:
- Symmetry: No. 11
- Spin magnetization: 0.00 μB/cell

Cell: 3.4898 3.4624 10.1069 Å, 90.00 89.90 90.00°
Fractional positions:
Au: 0.2513 0.7500 0.7729
Au: 0.7505 0.2500 0.9230
H: 0.2506 0.2500 0.5002
Au: 0.7487 0.2500 0.2271
Zr: 0.7517 0.2500 0.6263
Au: 0.2495 0.7500 0.0770
H: 0.7494 0.7500 0.4998
Zr: 0.2483 0.7500 0.3737

***

Tell me which of them is the most stable. Sure, it is C.

***

A | Here is HfHg2Au after structural relaxation from Alexandria. Energies are from PBE.

Values from the calculation:
- Symmetry: No. 122
- Spin magnetization: 0.00 μB/cell

Cell: 7.8566 7.8566 6.2835 Å, 51.31 51.31 90.00°
Fractional positions:
Hg: 0.6302 0.1250 0.2500
Hg: 0.8750 0.8802 0.7500
Hg: 0.1198 0.6250 0.2500
Au: 0.0000 0.0000 0.0000
Au: 0.7500 0.2500 0.5000
Hf: 0.5000 0.5000 0.0000
Hf: 0.2500 0.7500 0.5000
Hg: 0.3750 0.3698 0.7500

***

B | Here is HfHg2Au after structural relaxation from Alexandria. Energies are from PBE.

Values from the calculation:
- Symmetry: No. 166
- Spin magnetization: 0.00 μB/cell

Cell: 3.1281 3.1281 10.8166 Å, 81.69 81.69 60.00°
Fractional positions:
Hf: 0.0000 0.0000 0.0000
Hg: 0.9099 0.9099 0.2702
Hg: 0.0901 0.0901 0.7298
Au: 0.5000 0.5000 0.5000

***

Tell me which of them is the most stable. Sure, it is A.

***

A | Here is Hf2Hg2Au after structural relaxation from Alexandria. Energies are from PBE.

Values from the calculation:
- Symmetry: No. 127
- Spin magnetization: 0.00 μB/cell

Cell: 7.2580 7.2580 4.3454 Å, 90.00 90.00 90.00°
Fractional positions:
Hg: 0.3462 0.1538 0.5000
Au: 0.5000 0.5000 0.0000
Au: 0.0000 0.0000 0.0000
Hf: 0.8498 0.6502 0.0000
Hg: 0.6538 0.8462 0.5000
Hf: 0.3498 0.8498 0.0000
Hf: 0.6502 0.1502 0.0000
Hg: 0.8462 0.3462 0.5000
Hg: 0.1538 0.6538 0.5000
Hf: 0.1502 0.3498 0.0000

***

B | Here is Hf2Hg2Au after structural relaxation from Alexandria. Energies are from PBE.

Values from the calculation:
- Symmetry: No. 127
- Spin magnetization: 0.00 μB/cell

Cell: 7.2395 7.2395 4.0470 Å, 90.00 90.00 90.00°
Fractional positions:
Hf: 0.3345 0.1655 0.5000
Hf: 0.1655 0.6655 0.5000
Hg: 0.1378 0.3622 0.0000
Hg: 0.6378 0.1378 0.0000
Au: 0.0000 0.0000 0.0000
Hf: 0.8345 0.3345 0.5000
Au: 0.5000 0.5000 0.0000
Hg: 0.8622 0.6378 0.0000
Hf: 0.6655 0.8345 0.5000
Hg: 0.3622 0.8622 0.0000

***

Tell me which of them is the most stable. Sure, it is B.

***

A | Here is HoHfAu2 after structural relaxation from Alexandria. Energies are from PBE.

Values from the calculation:
- Symmetry: No. 225
- Spin magnetization: 0.00 μB/cell

Cell: 4.9379 4.9379 4.9379 Å, 60.00 60.00 60.00°
Fractional positions:
Au: 0.7500 0.7500 0.7500
Ho: 0.0000 0.0000 0.0000
Au: 0.2500 0.2500 0.2500
Hf: 0.5000 0.5000 0.5000

***

B | Here is HoHfAu2 after structural relaxation from Alexandria. Energies are from PBE.

Values from the calculation:
- Symmetry: No. 166
- Spin magnetization: 0.00 μB/cell

Cell: 3.6845 3.6845 8.2059 Å, 77.03 77.03 60.00°
Fractional positions:
Ho: 0.5000 0.5000 0.5000
Au: 0.7438 0.7438 0.7685
Au: 0.2562 0.2562 0.2315
Hf: 0.0000 0.0000 0.0000

***

C | Here is HoHfAu2 after structural relaxation from Alexandria. Energies are from PBE.

Values from the calculation:
- Symmetry: No. 123
- Spin magnetization: 0.11 μB/cell

Cell: 3.4393 3.4393 7.2019 Å, 90.00 90.00 90.00°
Fractional positions:
Au: 0.0000 0.0000 0.7766
Hf: 0.5000 0.5000 0.0000
Au: 0.0000 0.0000 0.2234
Ho: 0.5000 0.5000 0.5000

***

Tell me which of them is the most stable. Sure, it is C.

***

A | Here is HfAu3I after structural relaxation from Alexandria. Energies are from PBE.

Values from the calculation:
- Symmetry: No. 221
- Spin magnetization: 1.27 μB/cell

Cell: 5.2281 5.2281 5.2281 Å, 90.00 90.00 90.00°
Fractional positions:
Au: 0.5000 0.0000 0.0000
Hf: 0.5000 0.5000 0.5000
Au: 0.0000 0.5000 0.0000
I: 0.0000 0.0000 0.0000
Au: 0.0000 0.0000 0.5000

***

B | Here is HfAu3I after structural relaxation from Alexandria. Energies are from PBE.

Values from the calculation:
- Symmetry: No. 221
- Spin magnetization: 0.00 μB/cell

Cell: 5.3030 5.3030 5.3030 Å, 90.00 90.00 90.00°
Fractional positions:
Au: 0.0000 0.0000 0.5000
Hf: 0.0000 0.0000 0.0000
Au: 0.0000 0.5000 0.0000
Au: 0.5000 0.0000 0.0000
I: 0.5000 0.5000 0.5000

***

Tell me which of them is the most stable. Sure, it is B.

***

A | Here is HfAuI3 after structural relaxation from Alexandria. Energies are from PBE.

Values from the calculation:
- Symmetry: No. 221
- Spin magnetization: 0.00 μB/cell

Cell: 5.6349 5.6349 5.6349 Å, 90.00 90.00 90.00°
Fractional positions:
I: 0.0000 0.5000 0.0000
Hf: 0.0000 0.0000 0.0000
Au: 0.5000 0.5000 0.5000
I: 0.0000 0.0000 0.5000
I: 0.5000 0.0000 0.0000

***

B | Here is HfAuI3 after structural relaxation from Alexandria. Energies are from PBE.

Values from the calculation:
- Symmetry: No. 221
- Spin magnetization: 1.67 μB/cell

Cell: 5.5956 5.5956 5.5956 Å, 90.00 90.00 90.00°
Fractional positions:
I: 0.0000 0.5000 0.0000
I: 0.5000 0.0000 0.0000
Au: 0.0000 0.0000 0.0000
Hf: 0.5000 0.5000 0.5000
I: 0.0000 0.0000 0.5000

***

Tell me which of them is the most stable. Sure, it is A.

***

A | Here is HfAuIO2 after structural relaxation from Alexandria. Energies are from PBE.

Values from the calculation:
- Symmetry: No. 123
- Spin magnetization: 0.66 μB/cell

Cell: 4.2241 4.2241 5.3486 Å, 90.00 90.00 90.00°
Fractional positions:
O: 0.0000 0.5000 0.0000
Au: 0.0000 0.0000 0.0000
O: 0.5000 0.0000 0.0000
I: 0.0000 0.0000 0.5000
Hf: 0.5000 0.5000 0.5000

***

B | Here is HfAuIO2 after structural relaxation from Alexandria. Energies are from PBE.

Values from the calculation:
- Symmetry: No. 123
- Spin magnetization: 0.00 μB/cell

Cell: 4.0456 4.0456 6.3097 Å, 90.00 90.00 90.00°
Fractional positions:
O: 0.0000 0.5000 0.0000
I: 0.0000 0.0000 0.5000
Au: 0.5000 0.5000 0.5000
Hf: 0.0000 0.0000 0.0000
O: 0.5000 0.0000 0.0000

***

Tell me which of them is the most stable. Sure, it is B.